No. 1
PBE-GGA Ta2CdRu, relaxed; formation energy from the elements = 39 kJ/mol of formula units; total magnetic moment = 0.000 μB per formula unit; space-group type = Immm
1.0
-1.668 2.287 4.575
1.668 -2.287 4.575
1.668 2.287 -4.575
Ta Cd Ru
2 1 1
Direct
0.230 0.230 0.000 Ta
0.770 0.770 0.000 Ta
0.500 0.000 0.500 Cd
0.000 0.500 0.500 Ru

No. 2
PBE-GGA TaTl2CdRu, relaxed; formation energy from the elements = 998 kJ/mol of formula units; total magnetic moment = 0.000 μB per formula unit; space-group type = P4/mmm
1.0
5.127 0.000 0.000
0.000 5.127 0.000
0.000 0.000 5.295
Ta Tl Cd Ru
1 2 1 1
Direct
0.000 0.000 0.000 Ta
0.000 0.500 0.500 Tl
0.500 0.000 0.500 Tl
0.000 0.000 0.500 Cd
0.500 0.500 0.000 Ru

Question: Which of these has the highest formation energy from the elements?
Answer: TaTl2CdRu

Question: Number 1 is which compound?
Answer: Ta2CdRu